Record 1
Density functional theory data (PBE) for a relaxed structure of La2Cd2Pb.

```
5
Lattice="-0.683 0.988 -4.078 -4.043 -1.260 0.372 -4.684 8.004 0.507" Properties=species:S:1:pos:R:3 pbc="T T T"
Pb 0.000 0.000 0.000
Cd -3.865 4.427 -2.712
Cd -5.545 3.303 -0.487
La -2.784 1.338 -1.425
La -6.627 6.393 -1.773
```

Results
Its crystal system is tetragonal. The volume comes out at 31.76 Å³ per atom. The calculation puts the density of states at the Fermi level at 1.133 states/eV/atom. As for the uncorrected energy: -3.30 eV/atom.

Record 2
Density functional theory data (PBE) for a relaxed structure of LaCdPb2.

```
4
Lattice="3.644 0.000 0.000 0.000 4.546 0.000 0.000 0.000 7.128" Properties=species:S:1:pos:R:3 pbc="T T T"
Pb 0.000 0.000 0.152
Pb 0.000 0.000 3.412
Cd 1.822 2.273 1.782
La 1.822 2.273 5.346
```

Results
Its crystal system is orthorhombic. The volume comes out at 29.52 Å³ per atom. The calculation puts the density of states at the Fermi level at 0.717 states/eV/atom. As for the uncorrected energy: -3.55 eV/atom.

Which value of uncorrected energy does entry 1 give?
-3.30 eV/atom

Among the records above, which one has the lowest uncorrected energy?
LaCdPb2

uncorrected energy of number 1 (La2Cd2Pb)?
-3.30 eV/atom

Among the records above, which one has the lowest uncorrected energy?
LaCdPb2